# 1
Computed, not measured: a relaxed structure of Sc4Re5 at the PBE-GGA level of DFT.

abc: 7.150 7.150 7.150
angles: 92.82 92.82 154.35
Fractional positions:
Sc  0.312  0.000  0.312
Sc  0.688  0.000  0.688
Sc  0.000  0.688  0.688
Sc  0.000  0.312  0.312
Re  0.000  0.000  0.000
Re  0.333  0.667  0.000
Re  0.667  0.667  0.334
Re  0.333  0.333  0.666
Re  0.667  0.333  0.000

## Properties
Size of the total moment   0.00 μB per formula unit
Uncorrected energy   -9.710 eV per atom
DFT formation energy   20 meV per atom
Energy above the lowest structure with this stoichiometry   0 meV per atom

---

# 2
Computed, not measured: a relaxed structure of ScSi2Hg at the PBE-GGA level of DFT.

abc: 4.775 4.775 4.775
angles: 60.00 60.00 60.00
Fractional positions:
Hg  0.500  0.500  0.500
Sc  0.750  0.750  0.750
Si  0.000  0.000  0.000
Si  0.250  0.250  0.250

## Properties
Size of the total moment   0.00 μB per formula unit
Uncorrected energy   -4.200 eV per atom
Formation energy from raw total energies   0.170 eV per atom

---

# 3
Computed, not measured: a relaxed structure of BaNa2NiN at the PBE-GGA level of DFT.

abc: 4.952 5.933 4.952
angles: 90.00 90.00 90.00
Each line ends with the local moment (μB).
Fractional positions:
Ni  0.000  0.000  0.000  0.14
N  0.500  0.500  0.500  0.87
Ba  0.000  0.500  0.000  -0.06
Na  0.000  0.000  0.500  -0.01
Na  0.500  0.000  0.000  -0.03

## Properties
Size of the total moment   1.00 μB per formula unit
Uncorrected energy   -2.779 eV per atom
Formation energy from raw total energies   0.954 eV per atom
Energy above the lowest structure with this stoichiometry   577 meV per atom

---

# 4
Computed, not measured: a relaxed structure of RbTlAs at the PBE-GGA level of DFT.

abc: 5.407 4.969 4.969
angles: 120.00 90.00 90.00
Fractional positions:
Tl  0.167  0.333  0.667
As  0.167  0.000  0.000
Rb  0.666  0.667  0.333

## Properties
Size of the total moment   0.00 μB per formula unit
Uncorrected energy   -2.828 eV per atom
DFT formation energy   -167 meV per atom
Energy above the lowest structure with this stoichiometry   64 meV per atom

---

# 5
Computed, not measured: a relaxed structure of Fe2WBr at the PBE-GGA level of DFT.

abc: 3.568 3.568 6.707
angles: 89.94 89.94 60.01
Each line ends with the local moment (μB).
Fractional positions:
Br  0.125  0.125  0.280  0.00
Fe  0.125  0.125  0.901  2.80
Fe  0.792  0.792  0.739  0.43
W  0.458  0.458  0.581  -0.21

## Properties
Size of the total moment   2.97 μB per formula unit
Uncorrected energy   -7.355 eV per atom
Formation energy from raw total energies   0.533 eV per atom
Energy above the lowest structure with this stoichiometry   63 meV per atom

---

# 6
Computed, not measured: a relaxed structure of Pm2TmAl at the PBE-GGA level of DFT.

abc: 3.551 3.551 9.201
angles: 90.00 90.00 90.00
Fractional positions:
Tm  0.500  0.500  0.500
Al  0.500  0.500  0.000
Pm  0.000  0.000  0.783
Pm  0.000  0.000  0.217

## Properties
Size of the total moment   0.00 μB per formula unit
Uncorrected energy   -4.571 eV per atom
DFT formation energy   -142 meV per atom
Energy above the lowest structure with this stoichiometry   39 meV per atom

---

Among the records above, which one has the lowest uncorrected energy?
Sc4Re5

---

What is the formula in the second record?
ScSi2Hg

---

Which formula does entry 2 have?
ScSi2Hg

---

Which formula does entry 2 have?
ScSi2Hg